(1)
12
Lattice="2.7094 0.0000 0.0000 -1.3547 2.3464 0.0000 0.0000 0.0000 26.1574" Properties=species:S:1:pos:R:3 comment="FeCoPt2 | the Alexandria database | GGA-PBE | optimized geometry" magnetic_moment_mub_per_cell=15.77 energy_ev_per_atom=-7.04 spacegroup="R-3m (166)" density_g_cm3=15.1 dos_ef_per_ev_atom=0.93 pbc="T T T"
Fe 0.0000 0.0000 0.0000
Fe 0.0000 1.5643 17.4383
Fe 1.3547 0.7821 8.7191
Co 0.0000 0.0000 13.0787
Co 0.0000 1.5643 4.3596
Co 1.3547 0.7821 21.7978
Pt 0.0000 0.0000 6.5251
Pt 0.0000 0.0000 19.6323
Pt 0.0000 1.5643 10.9132
Pt 0.0000 1.5643 23.9633
Pt 1.3547 0.7821 2.1941
Pt 1.3547 0.7821 15.2442



(2)
8
Lattice="2.8493 0.0000 0.0000 0.0000 4.6770 0.0000 0.0000 0.0000 9.4290" Properties=species:S:1:pos:R:3 comment="CuAg2Ir | the Alexandria database | GGA-PBE | optimized geometry" magnetic_moment_mub_per_cell=0.00 energy_ev_per_atom=-4.43 spacegroup="Cmm2 (35)" density_g_cm3=12.5 dos_ef_per_ev_atom=0.85 pbc="T T T"
Cu 0.0000 0.0000 0.0000
Cu 1.4247 2.3385 0.0000
Ag 0.0000 0.0000 4.6048
Ag 0.0000 2.3385 7.1473
Ag 1.4247 0.0000 7.1473
Ag 1.4247 2.3385 4.6048
Ir 0.0000 2.3385 2.1275
Ir 1.4247 0.0000 2.1275



(3)
8
Lattice="2.9685 0.0000 0.0000 0.0000 4.7989 0.0000 0.0000 0.0000 9.8560" Properties=species:S:1:pos:R:3 comment="TlRe2Ag | the Alexandria database | GGA-PBE | optimized geometry" magnetic_moment_mub_per_cell=0.00 energy_ev_per_atom=-6.46 spacegroup="Cmmm (65)" density_g_cm3=16.2 dos_ef_per_ev_atom=0.70 pbc="T T T"
Tl 0.0000 0.0000 0.0000
Tl 1.4843 2.3994 0.0000
Re 0.0000 2.3994 2.5057
Re 0.0000 2.3994 7.3503
Re 1.4843 0.0000 2.5057
Re 1.4843 0.0000 7.3503
Ag 0.0000 0.0000 4.9280
Ag 1.4843 2.3994 4.9280



(4)
16
Lattice="6.4628 0.0000 0.0000 0.0000 6.4628 0.0000 0.0000 0.0000 6.4628" Properties=species:S:1:pos:R:3 comment="CaBe2As | the Alexandria database | GGA-PBE | optimized geometry" magnetic_moment_mub_per_cell=0.00 energy_ev_per_atom=-3.15 spacegroup="F-43m (216)" density_g_cm3=3.3 dos_ef_per_ev_atom=0.79 pbc="T T T"
Ca 0.0000 0.0000 0.0000
Ca 0.0000 3.2314 3.2314
Ca 3.2314 0.0000 3.2314
Ca 3.2314 3.2314 0.0000
Be 0.0000 0.0000 3.2314
Be 0.0000 3.2314 0.0000
Be 1.6157 1.6157 4.8471
Be 1.6157 4.8471 1.6157
Be 3.2314 0.0000 0.0000
Be 3.2314 3.2314 3.2314
Be 4.8471 1.6157 1.6157
Be 4.8471 4.8471 4.8471
As 1.6157 1.6157 1.6157
As 1.6157 4.8471 4.8471
As 4.8471 1.6157 4.8471
As 4.8471 4.8471 1.6157



(5)
6
Lattice="3.4634 0.0000 0.0000 0.0000 3.9710 0.0000 0.0000 0.0000 9.4004" Properties=species:S:1:pos:R:3 comment="RuPtS | the Alexandria database | GGA-PBE | optimized geometry" e_form_raw_ev_per_atom=0.17 magnetic_moment_mub_per_cell=0.00 spacegroup="Pmmn (59)" density_g_cm3=8.4 dos_ef_per_ev_atom=1.11 pbc="T T T"
Ru 0.8659 0.9927 1.9524
Ru 2.5976 2.9782 7.4480
Pt 0.8659 2.9782 0.2862
Pt 2.5976 0.9927 9.1142
S 0.8659 2.9782 6.1485
S 2.5976 0.9927 3.2519



(6)
10
Lattice="3.8397 0.0000 0.0000 0.0000 3.8397 0.0000 0.0000 0.0000 25.2325" Properties=species:S:1:pos:R:3 comment="Ac4NdY5 | the Alexandria database | GGA-PBE | optimized geometry" magnetic_moment_mub_per_cell=0.00 energy_ev_per_atom=-5.31 spacegroup="P4/mmm (123)" density_g_cm3=6.7 dos_ef_per_ev_atom=1.55 pbc="T T T"
Ac 0.0000 0.0000 2.5579
Ac 0.0000 0.0000 7.6752
Ac 0.0000 0.0000 17.5572
Ac 0.0000 0.0000 22.6745
Nd 0.0000 0.0000 12.6162
Y 1.9198 1.9198 0.0000
Y 1.9198 1.9198 5.1238
Y 1.9198 1.9198 10.2565
Y 1.9198 1.9198 14.9760
Y 1.9198 1.9198 20.1087



(7)
10
Lattice="-3.7621 3.7621 4.5469 3.7621 -3.7621 4.5469 3.7621 3.7621 -4.5469" Properties=species:S:1:pos:R:3 comment="Rb2VTcCl6 | the Alexandria database | GGA-PBE | optimized geometry" e_form_raw_ev_per_atom=-1.02 magnetic_moment_mub_per_cell=3.30 spacegroup="I4/mmm (139)" density_g_cm3=3.4 dos_ef_per_ev_atom=1.59 pbc="T T T"
Rb 3.7621 0.0000 2.2735
Rb 0.0000 3.7621 2.2735
V 0.0000 0.0000 0.0000
Tc 0.0000 0.0000 4.5469
Cl 1.7533 1.7533 0.0000
Cl 2.0088 -2.0088 4.5469
Cl 0.0000 0.0000 2.2487
Cl 0.0000 0.0000 6.8451
Cl -2.0088 2.0088 4.5469
Cl 2.0088 2.0088 4.5469



(8)
15
Lattice="7.6253 0.0000 0.0000 -3.8126 6.6037 0.0000 0.0000 0.0000 5.5929" Properties=species:S:1:pos:R:3 comment="NbPd6Au8 | the Alexandria database | GGA-PBE | optimized geometry" magnetic_moment_mub_per_cell=0.00 energy_ev_per_atom=-4.49 spacegroup="P-3 (147)" density_g_cm3=13.6 dos_ef_per_ev_atom=0.43 pbc="T T T"
Nb 0.0000 0.0000 0.0000
Pd -2.3657 4.5412 4.8774
Pd 1.0626 2.2843 4.8774
Pd 2.5096 0.2219 0.7156
Pd 1.3030 6.3818 4.8774
Pd 2.7500 4.3193 0.7156
Pd 6.1783 2.0624 0.7156
Au -2.4608 4.5358 2.0979
Au 1.1149 2.2047 2.0979
Au 0.0000 4.4024 0.7504
Au 2.4668 0.1368 3.4951
Au 1.3458 6.4669 2.0979
Au 3.8126 2.2012 4.8426
Au 2.6977 4.3990 3.4951
Au 6.2734 2.0679 3.4951



(9)
13
Lattice="7.7528 -3.7850 0.0000 7.7528 3.7850 0.0000 -1.3425 0.0000 6.5506" Properties=species:S:1:pos:R:3 comment="Pm8Pt2Au3 | the Alexandria database | GGA-PBE | optimized geometry" magnetic_moment_mub_per_cell=0.00 energy_ev_per_atom=-5.24 spacegroup="C2/m (12)" density_g_cm3=9.2 dos_ef_per_ev_atom=1.10 pbc="T T T"
Pm 0.7181 0.0000 2.1188
Pm 5.4845 1.8846 0.8145
Pm 4.1983 0.0000 4.0282
Pm 8.6786 1.8846 5.7361
Pm 5.4845 -1.8846 0.8145
Pm 9.9649 0.0000 2.5224
Pm 8.6786 -1.8846 5.7361
Pm 13.4450 0.0000 4.4318
Pt 3.3590 0.0000 1.1940
Pt 10.8041 0.0000 5.3566
Au 7.0816 1.3923 3.2753
Au 7.7528 0.0000 0.0000
Au 7.0816 -1.3923 3.2753



(10)
5
Lattice="4.9014 0.0000 0.0000 0.0000 4.9014 0.0000 0.0000 0.0000 5.2111" Properties=species:S:1:pos:R:3 comment="YMgSc2S | the Alexandria database | GGA-PBE | optimized geometry" e_form_raw_ev_per_atom=-0.71 magnetic_moment_mub_per_cell=0.00 spacegroup="P4/mmm (123)" density_g_cm3=3.1 dos_ef_per_ev_atom=0.95 pbc="T T T"
Y 0.0000 0.0000 0.0000
Mg 2.4507 2.4507 0.0000
Sc 0.0000 2.4507 2.6056
Sc 2.4507 0.0000 2.6056
S 0.0000 0.0000 2.6056



(11)
11
Lattice="12.0488 -1.5700 0.0000 12.0488 1.5700 0.0000 -1.9923 0.0000 8.5024" Properties=species:S:1:pos:R:3 comment="Tl5Cd2Hg4 | the Alexandria database | GGA-PBE | optimized geometry" magnetic_moment_mub_per_cell=0.00 energy_ev_per_atom=-1.31 spacegroup="C2/m (12)" density_g_cm3=10.6 dos_ef_per_ev_atom=0.44 pbc="T T T"
Tl 0.0000 0.0000 0.0000
Tl 6.5761 0.0000 4.7596
Tl 9.1584 0.0000 2.2235
Tl 12.9468 0.0000 6.2789
Tl 15.5292 0.0000 3.7429
Cd 6.0577 0.0000 1.4057
Cd 16.0476 0.0000 7.0968
Hg 3.0870 0.0000 0.7757
Hg 9.7764 0.0000 5.4242
Hg 12.3289 0.0000 3.0782
Hg 19.0183 0.0000 7.7268



(12)
10
Lattice="8.5431 0.0000 0.0000 0.0000 8.5431 0.0000 0.0000 0.0000 2.9194" Properties=species:S:1:pos:R:3 comment="Mg2BiW2 | the Alexandria database | GGA-PBE | optimized geometry" magnetic_moment_mub_per_cell=0.00 energy_ev_per_atom=-5.81 spacegroup="P4/mbm (127)" density_g_cm3=9.7 dos_ef_per_ev_atom=0.91 pbc="T T T"
Mg 1.5657 2.7059 0.0000
Mg 2.7059 6.9774 0.0000
Mg 5.8372 1.5657 0.0000
Mg 6.9774 5.8372 0.0000
Bi 0.0000 0.0000 0.0000
Bi 4.2716 4.2716 0.0000
W 0.8681 5.1397 1.4597
W 3.4034 0.8681 1.4597
W 5.1397 7.6750 1.4597
W 7.6750 3.4034 1.4597



(13)
4
Lattice="3.5696 0.0000 0.0000 0.0000 3.5696 0.0000 0.0000 0.0000 9.0441" Properties=species:S:1:pos:R:3 comment="AcDy2Rh | the Alexandria database | GGA-PBE | optimized geometry" magnetic_moment_mub_per_cell=0.00 energy_ev_per_atom=-5.55 spacegroup="P4/mmm (123)" density_g_cm3=9.4 dos_ef_per_ev_atom=1.23 pbc="T T T"
Ac 0.0000 0.0000 0.0000
Dy 1.7848 1.7848 2.9218
Dy 1.7848 1.7848 6.1223
Rh 0.0000 0.0000 4.5221



(14)
5
Lattice="4.5315 0.0000 0.0000 0.0000 4.5315 0.0000 0.0000 0.0000 4.5315" Properties=species:S:1:pos:R:3 comment="AsOs3Au | the Alexandria database | GGA-PBE | optimized geometry" magnetic_moment_mub_per_cell=1.82 energy_ev_per_atom=-6.62 spacegroup="Pm-3m (221)" density_g_cm3=15.0 dos_ef_per_ev_atom=0.86 pbc="T T T"
As 0.0000 0.0000 0.0000
Os 0.0000 0.0000 2.2658
Os 0.0000 2.2658 0.0000
Os 2.2658 0.0000 0.0000
Au 2.2658 2.2658 2.2658



(15)
10
Lattice="-2.7151 2.7151 12.0139 2.7151 -2.7151 12.0139 2.7151 2.7151 -12.0139" Properties=species:S:1:pos:R:3 comment="RbZnCl3 | the Alexandria database | GGA-PBE | optimized geometry" e_form_raw_ev_per_atom=-0.72 magnetic_moment_mub_per_cell=0.00 spacegroup="I-4m2 (119)" density_g_cm3=2.4 dos_ef_per_ev_atom=0.24 pbc="T T T"
Rb 0.0000 0.0000 0.0000
Rb 0.0000 2.7151 6.0069
Zn 2.7151 0.0000 4.7656
Zn 2.7151 0.0000 7.2483
Cl 0.0000 0.0000 7.4016
Cl 0.0000 1.3521 2.8597
Cl 0.0000 0.0000 16.6261
Cl 0.0000 4.0782 2.8597
Cl -1.3630 2.7151 9.1541
Cl 1.3630 2.7151 9.1541



(16)
12
Lattice="0.0000 4.9704 7.8998 3.0532 0.0000 7.8998 3.0532 4.9704 0.0000" Properties=species:S:1:pos:R:3 comment="Li8TlHg3 | the Alexandria database | GGA-PBE | optimized geometry" magnetic_moment_mub_per_cell=0.00 energy_ev_per_atom=-1.76 spacegroup="Fmmm (69)" density_g_cm3=6.0 dos_ef_per_ev_atom=0.35 pbc="T T T"
Li 4.5752 4.9704 5.3926
Li 3.0532 2.4464 6.4063
Li 3.0532 2.4464 9.3932
Li 4.5752 4.9704 10.4070
Li 1.5312 4.9704 5.3926
Li 3.0532 7.4944 6.4063
Li 3.0532 7.4944 9.3932
Li 1.5312 4.9704 10.4070
Tl 3.0532 4.9704 7.8998
Hg 0.0000 0.0000 0.0000
Hg 1.5266 2.4852 3.9499
Hg 4.5798 7.4556 11.8497



(17)
5
Lattice="3.3655 0.0000 0.0000 0.0000 3.3655 0.0000 0.0000 0.0000 6.2757" Properties=species:S:1:pos:R:3 comment="AlFe3H | the Alexandria database | GGA-PBE | optimized geometry" magnetic_moment_mub_per_cell=7.10 energy_ev_per_atom=-6.03 spacegroup="P4mm (99)" density_g_cm3=4.6 dos_ef_per_ev_atom=0.78 pbc="T T T"
Al 0.0000 0.0000 0.0000
Fe 0.0000 0.0000 3.7794
Fe 0.0000 1.6827 1.9568
Fe 1.6827 0.0000 1.9568
H 1.6827 1.6827 1.3775



(18)
18
Lattice="6.0826 0.0000 0.0000 0.0000 8.8323 0.0000 -5.2947 0.0000 9.5927" Properties=species:S:1:pos:R:3 comment="Tm6Sn2Pb | the Alexandria database | GGA-PBE | optimized geometry" magnetic_moment_mub_per_cell=0.00 energy_ev_per_atom=-4.65 spacegroup="P2_1/c (14)" density_g_cm3=9.4 dos_ef_per_ev_atom=0.85 pbc="T T T"
Tm -2.0611 1.4449 4.2279
Tm -4.7085 2.9712 9.0243
Tm -0.1414 6.0791 4.2114
Tm -2.7888 7.1693 9.0078
Tm 0.9292 0.2900 2.9053
Tm -1.7182 4.1262 7.7017
Tm 2.5060 4.7061 1.8910
Tm -0.1414 8.5423 6.6873
Tm 3.5766 1.6630 0.5849
Tm 0.9293 2.7532 5.3812
Tm 5.4963 5.8611 0.5684
Tm 2.8489 7.3873 5.3647
Sn -2.9654 1.0807 7.2568
Sn -0.3180 3.3354 2.4605
Sn 1.1058 5.4969 7.1322
Sn 3.7532 7.7516 2.3359
Pb 0.0000 0.0000 0.0000
Pb -2.6474 4.4161 4.7963



(19)
12
Lattice="7.1805 0.0000 0.0000 0.0000 5.0393 0.0000 0.0000 0.0000 7.3651" Properties=species:S:1:pos:R:3 comment="PaTcSb | the Alexandria database | GGA-PBE | optimized geometry" e_form_raw_ev_per_atom=-0.44 magnetic_moment_mub_per_cell=0.00 spacegroup="Pnma (62)" density_g_cm3=11.2 dos_ef_per_ev_atom=0.87 pbc="T T T"
Pa 0.0763 1.2598 1.4516
Pa 3.5140 3.7795 5.1341
Pa 3.6666 1.2598 2.2310
Pa 7.1042 3.7795 5.9135
Tc 1.7798 1.2598 7.1717
Tc 1.8105 3.7795 3.4892
Tc 5.3701 1.2598 3.8759
Tc 5.4007 3.7795 0.1934
Sb 1.2204 1.2598 4.4359
Sb 2.3698 3.7795 0.7534
Sb 4.8107 1.2598 6.6117
Sb 5.9601 3.7795 2.9292



(20)
6
Lattice="3.0487 0.0000 0.0000 0.0000 3.0487 0.0000 0.0000 0.0000 9.7468" Properties=species:S:1:pos:R:3 comment="NiOsS | the Alexandria database | GGA-PBE | optimized geometry" e_form_raw_ev_per_atom=0.01 magnetic_moment_mub_per_cell=0.00 spacegroup="P4/nmm (129)" density_g_cm3=10.3 dos_ef_per_ev_atom=0.77 pbc="T T T"
Ni 0.7622 0.7622 2.4207
Ni 2.2865 2.2865 7.3261
Os 0.7622 0.7622 8.9630
Os 2.2865 2.2865 0.7837
S 0.7622 0.7622 6.6044
S 2.2865 2.2865 3.1423



(21)
14
Lattice="7.3411 0.0000 0.0000 0.0000 3.6721 8.0943 0.0000 -3.6721 8.0943" Properties=species:S:1:pos:R:3 comment="Rb2CuBrCl3 | the Alexandria database | GGA-PBE | optimized geometry" e_form_raw_ev_per_atom=-1.29 magnetic_moment_mub_per_cell=2.03 spacegroup="Aea2 (41)" density_g_cm3=3.2 dos_ef_per_ev_atom=0.00 pbc="T T T"
Rb 0.0000 0.0000 0.0000
Rb 0.0000 0.0000 4.3776
Rb 3.6706 0.0000 8.0943
Rb 3.6706 0.0000 12.4718
Cu 0.0000 0.0000 10.1808
Cu 3.6706 0.0000 2.0865
Br 0.0000 0.0000 12.7386
Br 3.6706 0.0000 4.6443
Cl 0.0000 0.0000 7.8146
Cl 1.6070 1.6096 10.2283
Cl 2.0636 -2.0625 10.2283
Cl 3.6706 0.0000 15.9088
Cl 5.2776 2.0625 10.2283
Cl 5.7341 -1.6096 10.2283



(22)
12
Lattice="5.4537 0.0000 0.0000 -2.7268 4.7230 0.0000 0.0000 0.0000 25.4414" Properties=species:S:1:pos:R:3 comment="BaTe2As | the Alexandria database | GGA-PBE | optimized geometry" e_form_raw_ev_per_atom=-0.30 magnetic_moment_mub_per_cell=3.07 spacegroup="R-3m (166)" density_g_cm3=3.6 dos_ef_per_ev_atom=1.22 pbc="T T T"
Ba 0.0000 0.0000 0.0000
Ba 0.0000 3.1487 16.9609
Ba 2.7268 1.5743 8.4805
Te 0.0000 0.0000 10.0277
Te 0.0000 0.0000 15.4137
Te 0.0000 3.1487 1.5472
Te 0.0000 3.1487 6.9332
Te 2.7268 1.5743 18.5082
Te 2.7268 1.5743 23.8942
As 0.0000 0.0000 12.7207
As 0.0000 3.1487 4.2402
As 2.7268 1.5743 21.2012



(23)
16
Lattice="4.0113 0.0000 0.0000 0.0000 4.0113 0.0000 0.0000 0.0000 16.0245" Properties=species:S:1:pos:R:3 comment="Cd3CuPt12 | the Alexandria database | GGA-PBE | optimized geometry" magnetic_moment_mub_per_cell=0.00 energy_ev_per_atom=-5.13 spacegroup="P4/mmm (123)" density_g_cm3=17.7 dos_ef_per_ev_atom=1.00 pbc="T T T"
Cd 0.0000 0.0000 0.0000
Cd 0.0000 0.0000 4.0882
Cd 0.0000 0.0000 11.9362
Cu 0.0000 0.0000 8.0122
Pt 0.0000 2.0056 2.0437
Pt 0.0000 2.0056 6.1398
Pt 0.0000 2.0056 9.8846
Pt 0.0000 2.0056 13.9807
Pt 2.0056 0.0000 2.0437
Pt 2.0056 0.0000 6.1398
Pt 2.0056 0.0000 9.8846
Pt 2.0056 0.0000 13.9807
Pt 2.0056 2.0056 0.0000
Pt 2.0056 2.0056 4.0908
Pt 2.0056 2.0056 8.0122
Pt 2.0056 2.0056 11.9337